1.
{"formula": "TbInCo", "functional": "PBE", "state": "relaxed", "spacegroup": "F-43m (216)", "dft_energy_ev_per_atom": -4.45, "cell": [[0.000, 3.297, 3.297], [3.297, 0.000, 3.297], [3.297, 3.297, 0.000]], "species": ["Tb", "In", "Co"], "frac_coords": [[0.000, 0.000, 0.000], [0.750, 0.750, 0.750], [0.500, 0.500, 0.500]]}


2.
{"formula": "Hf2GeB2", "functional": "PBE", "state": "relaxed", "spacegroup": "Cmmm (65)", "dft_energy_ev_per_atom": -8.21, "cell": [[1.556, -6.335, 0.000], [1.556, 6.335, 0.000], [0.000, 0.000, 3.470]], "species": ["Hf", "Hf", "Ge", "B", "B"], "frac_coords": [[0.141, 0.859, 0.000], [0.859, 0.141, 0.000], [0.500, 0.500, 0.500], [0.277, 0.723, 0.500], [0.723, 0.277, 0.500]]}


3.
{"formula": "RbPd3O4", "functional": "PBE", "state": "relaxed", "spacegroup": "Fm-3m (225)", "dft_energy_ev_per_atom": -5.09, "cell": [[0.000, 4.892, 4.892], [4.892, 0.000, 4.892], [4.892, 4.892, 0.000]], "species": ["Rb", "Rb", "Pd", "Pd", "Pd", "Pd", "Pd", "Pd", "O", "O", "O", "O", "O", "O", "O", "O"], "frac_coords": [[0.000, 0.000, 0.000], [0.500, 0.500, 0.500], [0.000, 0.000, 0.500], [0.000, 0.500, 0.000], [0.000, 0.500, 0.500], [0.500, 0.000, 0.000], [0.500, 0.000, 0.500], [0.500, 0.500, 0.000], [0.149, 0.149, 0.149], [0.149, 0.149, 0.552], [0.149, 0.552, 0.149], [0.448, 0.851, 0.851], [0.552, 0.149, 0.149], [0.851, 0.448, 0.851], [0.851, 0.851, 0.448], [0.851, 0.851, 0.851]]}


4.
{"formula": "TaCuAsPt", "functional": "PBE", "state": "relaxed", "spacegroup": "F-43m (216)", "de_polymorph_mev_per_atom": 285, "dft_energy_ev_per_atom": -6.43, "cell": [[0.000, 3.189, 3.189], [3.189, 0.000, 3.189], [3.189, 3.189, 0.000]], "species": ["Ta", "Cu", "As", "Pt"], "frac_coords": [[0.000, 0.000, 0.000], [0.750, 0.750, 0.750], [0.500, 0.500, 0.500], [0.250, 0.250, 0.250]]}